(1)
# K3CdGa | Alexandria via LeMat-Bulk | GGA-PBEsol | optimized geometry
data_K3CdGa
_chemical_formula_sum 'K3 Cd1 Ga1'
_cell_length_a 6.428
_cell_length_b 6.428
_cell_length_c 6.428
_cell_angle_alpha 90.00
_cell_angle_beta 90.00
_cell_angle_gamma 90.00
_symmetry_space_group_name_H-M 'P 1'
_symmetry_Int_Tables_number 1
_symmetry_space_group_name_Hall 'P 1'
loop_
_atom_site_label
_atom_site_type_symbol
_atom_site_fract_x
_atom_site_fract_y
_atom_site_fract_z
K1 K 0.000 0.500 0.000
K2 K 0.000 0.000 0.500
K3 K 0.500 0.000 0.000
Ga1 Ga 0.500 0.500 0.500
Cd1 Cd 0.000 0.000 0.000
# calculated total energy: -1.172 eV/atom
# formation energy: 415 meV/atom
# space group: Pm-3m, No. 221
# V: 53.118 A^3/atom

=====

(2)
# EuNiGe | Alexandria via LeMat-Bulk | GGA-PBEsol | optimized geometry
data_EuNiGe
_chemical_formula_sum 'Eu4 Ni4 Ge4'
_cell_length_a 5.966
_cell_length_b 6.057
_cell_length_c 6.750
_cell_angle_alpha 90.00
_cell_angle_beta 108.59
_cell_angle_gamma 90.00
_symmetry_space_group_name_H-M 'P 1'
_symmetry_Int_Tables_number 1
_symmetry_space_group_name_Hall 'P 1'
loop_
_atom_site_label
_atom_site_type_symbol
_atom_site_fract_x
_atom_site_fract_y
_atom_site_fract_z
Eu1 Eu 0.304 0.637 0.100
Eu2 Eu 0.196 0.137 0.400
Eu3 Eu 0.696 0.363 0.900
Eu4 Eu 0.804 0.863 0.600
Ni1 Ni 0.442 0.905 0.824
Ni2 Ni 0.058 0.405 0.676
Ni3 Ni 0.558 0.095 0.176
Ni4 Ni 0.942 0.595 0.324
Ge1 Ge 0.812 0.861 0.072
Ge2 Ge 0.688 0.361 0.428
Ge3 Ge 0.188 0.139 0.928
Ge4 Ge 0.312 0.639 0.572
# calculated total energy: -7.853 eV/atom
# formation energy: -633 meV/atom
# space group: P2_1/c, No. 14
# V: 19.268 A^3/atom

=====

Among the records above, which one has the lowest calculated total energy? EuNiGe

=====

formation energy of number 1 (K3CdGa)? 415 meV/atom

=====

Number 1 is which compound? K3CdGa

=====

What did the second record say?
# EuNiGe | Alexandria via LeMat-Bulk | GGA-PBEsol | optimized geometry
data_EuNiGe
_chemical_formula_sum 'Eu4 Ni4 Ge4'
_cell_length_a 5.966
_cell_length_b 6.057
_cell_length_c 6.750
_cell_angle_alpha 90.00
_cell_angle_beta 108.59
_cell_angle_gamma 90.00
_symmetry_space_group_name_H-M 'P 1'
_symmetry_Int_Tables_number 1
_symmetry_space_group_name_Hall 'P 1'
loop_
_atom_site_label
_atom_site_type_symbol
_atom_site_fract_x
_atom_site_fract_y
_atom_site_fract_z
Eu1 Eu 0.304 0.637 0.100
Eu2 Eu 0.196 0.137 0.400
Eu3 Eu 0.696 0.363 0.900
Eu4 Eu 0.804 0.863 0.600
Ni1 Ni 0.442 0.905 0.824
Ni2 Ni 0.058 0.405 0.676
Ni3 Ni 0.558 0.095 0.176
Ni4 Ni 0.942 0.595 0.324
Ge1 Ge 0.812 0.861 0.072
Ge2 Ge 0.688 0.361 0.428
Ge3 Ge 0.188 0.139 0.928
Ge4 Ge 0.312 0.639 0.572
# calculated total energy: -7.853 eV/atom
# formation energy: -633 meV/atom
# space group: P2_1/c, No. 14
# V: 19.268 A^3/atom